No. 1
Compound: Dy2TmIn2Ag2
Source: Alexandria via LeMat-Bulk
Functional: GGA-PBE
Structure: optimized geometry

## Properties
M_tot, μB/cell: 0.0
ΔH_f (0 K), eV per atom: -0.263
Space group: R-3m (166)

abc: 9.309 9.309 9.309
angles: 30.00 30.00 30.00
Positions (direct):
Dy: 0.126 0.126 0.126
Dy: 0.874 0.874 0.874
Tm: 0.000 0.000 0.000
In: 0.261 0.261 0.261
In: 0.739 0.739 0.739
Ag: 0.393 0.393 0.393
Ag: 0.607 0.607 0.607


No. 2
Compound: DyY2In2Ag2
Source: Alexandria via LeMat-Bulk
Functional: GGA-PBE
Structure: optimized geometry

## Properties
M_tot, μB/cell: 0.0
ΔH_f (0 K), eV per atom: -0.290
Space group: R-3m (166)

abc: 9.419 9.419 9.419
angles: 29.71 29.71 29.71
Positions (direct):
Dy: 0.000 0.000 0.000
Y: 0.126 0.126 0.126
Y: 0.874 0.874 0.874
In: 0.260 0.260 0.260
In: 0.740 0.740 0.740
Ag: 0.396 0.396 0.396
Ag: 0.604 0.604 0.604


No. 3
Compound: Dy2YIn2Ag2
Source: Alexandria via LeMat-Bulk
Functional: GGA-PBE
Structure: optimized geometry

## Properties
M_tot, μB/cell: 0.0
ΔH_f (0 K), eV per atom: -0.284
Space group: R-3m (166)

abc: 9.346 9.346 9.346
angles: 29.99 29.99 29.99
Positions (direct):
Dy: 0.126 0.126 0.126
Dy: 0.874 0.874 0.874
Y: 0.000 0.000 0.000
In: 0.260 0.260 0.260
In: 0.740 0.740 0.740
Ag: 0.397 0.397 0.397
Ag: 0.603 0.603 0.603


No. 4
Compound: DyYInAg
Source: Alexandria via LeMat-Bulk
Functional: GGA-PBE
Structure: optimized geometry

## Properties
M_tot, μB/cell: 0.0
ΔH_f (0 K), eV per atom: -0.413
Space group: F-43m (216)

abc: 7.433 7.433 7.433
angles: 90.00 90.00 90.00
Positions (direct):
Dy: 0.000 0.000 0.000
Dy: 0.000 0.500 0.500
Dy: 0.500 0.000 0.500
Dy: 0.500 0.500 0.000
Y: 0.000 0.000 0.500
Y: 0.000 0.500 0.000
Y: 0.500 0.000 0.000
Y: 0.500 0.500 0.500
In: 0.250 0.250 0.750
In: 0.250 0.750 0.250
In: 0.750 0.250 0.250
In: 0.750 0.750 0.750
Ag: 0.250 0.250 0.250
Ag: 0.250 0.750 0.750
Ag: 0.750 0.250 0.750
Ag: 0.750 0.750 0.250